# 1
The following is a DFT calculation (PBE) of a relaxed structure of RbZnN.

The space group is P1 (No. 1) and the conventional cell measures 4.387, 4.534 and 9.967 Å, with angles of 87.08, 90.00 and 62.10 degrees. Symmetry generates all atoms from Rb at (0.000, 0.000, 0.000), Rb at (0.037, 0.924, 0.541), Zn at (0.353, 0.290, 0.272), Zn at (0.684, 0.637, 0.273), N at (0.284, 0.434, 0.813) and N at (0.393, 0.215, 0.741).

The calculation puts the total energy at -3.51 eV per atom.



# 2
The following is a DFT calculation (PBE) of a relaxed structure of RbZn3N.

The space group is Pm-3m (No. 221) and the conventional cell measures 7.299, 7.299 and 7.299 Å, with angles of 90.00, 90.00 and 90.00 degrees. Symmetry generates all atoms from Rb at (0.000, 0.000, 0.000), Zn at (0.000, 0.000, 0.500) and N at (0.500, 0.500, 0.500).

As for the distance to the lowest polymorph of the same formula: 848 meV/atom.



# 3
The following is a DFT calculation (PBE) of a relaxed structure of Rb3ZnN.

The space group is Pm-3m (No. 221) and the conventional cell measures 5.891, 5.891 and 5.891 Å, with angles of 90.00, 90.00 and 90.00 degrees. Symmetry generates all atoms from Rb at (0.000, 0.000, 0.500), Zn at (0.500, 0.500, 0.500) and N at (0.000, 0.000, 0.000).

As for the distance to the lowest polymorph of the same formula: 0 meV/atom.



# 4
The following is a DFT calculation (PBE) of a relaxed structure of RbZnN.

The space group is P-6m2 (No. 187) and the conventional cell measures 5.3710, 5.3710 and 3.5907 Å, with angles of 90.00, 90.00 and 120.00 degrees. Symmetry generates all atoms from Rb at (0.0000, 0.0000, 0.0000), Zn at (0.6667, 0.3333, 0.5000) and N at (0.6667, 0.3333, 0.0000).

The calculation puts the total energy at -3.31 eV per atom.



# 5
The following is a DFT calculation (PBE) of a relaxed structure of RbZn3N.

The space group is Pm-3m (No. 221) and the conventional cell measures 4.688, 4.688 and 4.688 Å, with angles of 90.00, 90.00 and 90.00 degrees. Symmetry generates all atoms from Rb at (0.000, 0.000, 0.000), Zn at (0.000, 0.500, 0.500) and N at (0.500, 0.500, 0.500).

As for the distance to the lowest polymorph of the same formula: 0 meV/atom.



# 6
The following is a DFT calculation (PBE) of a relaxed structure of RbZrN2.

The space group is R-3m (No. 166, hexagonal axes) and the conventional cell measures 3.8768, 3.8768 and 23.1421 Å, with angles of 90.00, 90.00 and 120.00 degrees. Symmetry generates all atoms from Rb at (0.0000, 0.0000, 0.0000), Zr at (0.0000, 0.0000, 0.5000) and N at (0.0000, 0.0000, 0.4156).

As for the distance to the lowest polymorph of the same formula: 1428 meV/atom.



# 7
The following is a DFT calculation (PBE) of a relaxed structure of RbZrN2.

The space group is Fm-3m (No. 225) and the conventional cell measures 6.103, 6.103 and 6.103 Å, with angles of 90.00, 90.00 and 90.00 degrees. Symmetry generates all atoms from Rb at (0.000, 0.000, 0.000), Zr at (0.000, 0.000, 0.500) and N at (0.250, 0.250, 0.250).

As for the distance to the lowest polymorph of the same formula: 1397 meV/atom.



# 8
The following is a DFT calculation (PBE) of a relaxed structure of Rb3ZrN.

The space group is Pm-3m (No. 221) and the conventional cell measures 5.959, 5.959 and 5.959 Å, with angles of 90.00, 90.00 and 90.00 degrees. Symmetry generates all atoms from Rb at (0.000, 0.000, 0.500), Zr at (0.500, 0.500, 0.500) and N at (0.000, 0.000, 0.000).

As for the distance to the lowest polymorph of the same formula: 0 meV/atom.



# 9
The following is a DFT calculation (PBE) of a relaxed structure of RbZrN2.

The space group is R-3m (No. 166, hexagonal axes) and the conventional cell measures 3.4256, 3.4256 and 22.0853 Å, with angles of 90.00, 90.00 and 120.00 degrees. Symmetry generates all atoms from Rb at (0.0000, 0.0000, 0.0000), Zr at (0.0000, 0.0000, 0.5000) and N at (0.0000, 0.0000, 0.1189).

As for the distance to the lowest polymorph of the same formula: 181 meV/atom.



# 10
The following is a DFT calculation (PBE) of a relaxed structure of RbZrN3.

The space group is Pm-3m (No. 221) and the conventional cell measures 4.388, 4.388 and 4.388 Å, with angles of 90.00, 90.00 and 90.00 degrees. Symmetry generates all atoms from Rb at (0.000, 0.000, 0.000), Zr at (0.500, 0.500, 0.500) and N at (0.000, 0.500, 0.500).

The calculation puts the total energy at -6.50 eV per atom.



# 11
The following is a DFT calculation (PBE) of a relaxed structure of RbZrN2.

The space group is I-42d (No. 122) and the conventional cell measures 6.250, 6.250 and 9.303 Å, with angles of 90.00, 90.00 and 90.00 degrees. Symmetry generates all atoms from Rb at (0.000, 0.000, 0.000), Zr at (0.000, 0.000, 0.500) and N at (0.113, 0.250, 0.625).

As for the distance to the lowest polymorph of the same formula: 0 meV/atom.



# 12
The following is a DFT calculation (PBE) of a relaxed structure of Rb2ZrN.

The space group is I-42d (No. 122) and the conventional cell measures 12.966, 12.966 and 4.214 Å, with angles of 90.00, 90.00 and 90.00 degrees. Symmetry generates all atoms from Rb at (0.061, 0.250, 0.125), Zr at (0.000, 0.000, 0.500) and N at (0.000, 0.000, 0.000).

The calculation puts the total energy at -4.45 eV per atom.



# 13
The following is a DFT calculation (PBE) of a relaxed structure of RbZrN3.

The space group is Pm-3m (No. 221) and the conventional cell measures 4.100, 4.100 and 4.100 Å, with angles of 90.00, 90.00 and 90.00 degrees. Symmetry generates all atoms from Rb at (0.000, 0.000, 0.000), Zr at (0.500, 0.500, 0.500) and N at (0.000, 0.000, 0.500).

The calculation puts the total energy at -4.42 eV per atom.



# 14
The following is a DFT calculation (PBE) of a relaxed structure of Re3N.

The space group is P-6m2 (No. 187) and the conventional cell measures 2.8349, 2.8349 and 7.1983 Å, with angles of 90.00, 90.00 and 120.00 degrees. Symmetry generates all atoms from Re at (0.0000, 0.0000, 0.0000), Re at (0.6667, 0.3333, 0.3017) and N at (0.0000, 0.0000, 0.5000).

The calculation puts the total energy at -11.44 eV per atom.



# 15
The following is a DFT calculation (PBE) of a relaxed structure of Re2N.

The space group is P6_3/mmc (No. 194) and the conventional cell measures 2.8711, 2.8711 and 9.8496 Å, with angles of 90.00, 90.00 and 120.00 degrees. Symmetry generates all atoms from Re at (0.3333, 0.6667, 0.1061) and N at (0.3333, 0.6667, 0.7500).

The calculation puts the total energy at -11.03 eV per atom.



# 16
The following is a DFT calculation (PBE) of a relaxed structure of ReRhN.

The space group is Cmcm (No. 63) and the conventional cell measures 3.133, 23.063 and 2.800 Å, with angles of 90.00, 90.00 and 90.00 degrees. Symmetry generates all atoms from Re at (0.000, 0.119, 0.250), Rh at (0.000, 0.211, 0.750) and N at (0.000, 0.422, 0.750).

The calculation puts the total energy at -8.99 eV per atom.



# 17
The following is a DFT calculation (PBE) of a relaxed structure of ReRhN2.

The space group is Fm-3m (No. 225) and the conventional cell measures 5.410, 5.410 and 5.410 Å, with angles of 90.00, 90.00 and 90.00 degrees. Symmetry generates all atoms from Re at (0.000, 0.000, 0.000), Rh at (0.000, 0.000, 0.500) and N at (0.250, 0.250, 0.250).

As for the distance to the lowest polymorph of the same formula: 895 meV/atom.



# 18
The following is a DFT calculation (PBE) of a relaxed structure of ReRhN3.

The space group is Pm-3m (No. 221) and the conventional cell measures 3.871, 3.871 and 3.871 Å, with angles of 90.00, 90.00 and 90.00 degrees. Symmetry generates all atoms from Re at (0.000, 0.000, 0.000), Rh at (0.500, 0.500, 0.500) and N at (0.000, 0.000, 0.500).

The calculation puts the total energy at -7.86 eV per atom.



# 19
The following is a DFT calculation (PBE) of a relaxed structure of ReRhN2.

The space group is I-42d (No. 122) and the conventional cell measures 4.574, 4.574 and 9.562 Å, with angles of 90.00, 90.00 and 90.00 degrees. Symmetry generates all atoms from Re at (0.000, 0.000, 0.000), Rh at (0.000, 0.000, 0.500) and N at (0.217, 0.250, 0.125).

As for the distance to the lowest polymorph of the same formula: 37 meV/atom.



# 20
The following is a DFT calculation (PBE) of a relaxed structure of ReRhN2.

The space group is R-3m (No. 166, hexagonal axes) and the conventional cell measures 2.8208, 2.8208 and 19.6618 Å, with angles of 90.00, 90.00 and 120.00 degrees. Symmetry generates all atoms from Re at (0.0000, 0.0000, 0.0000), Rh at (0.0000, 0.0000, 0.5000) and N at (0.0000, 0.0000, 0.3993).

As for the distance to the lowest polymorph of the same formula: 0 meV/atom.